Density functional theory data (GGA-PBEsol) for an optimized crystal structure of YSc2Tl2.

Structure (POSCAR):
```
YSc2Tl2
1.0
8.4768 0.0000 0.0000
0.0000 8.4768 0.0000
0.0000 0.0000 3.4209
Y Sc Tl
2 4 4
direct
0.0000 0.0000 0.0000
0.5000 0.5000 0.0000
0.1396 0.3604 0.5000
0.3604 0.8604 0.5000
0.6396 0.1396 0.5000
0.8604 0.6396 0.5000
0.1621 0.6621 0.0000
0.3379 0.1621 0.0000
0.6621 0.8379 0.0000
0.8379 0.3379 0.0000
```

## Properties
symmetry	No. 127
total magnetic moment	0.00	μB per formula unit
formation energy from the elements	-0.33	eV/atom
calculated volume	24.6	Å³/atom


Density functional theory data (GGA-PBEsol) for an optimized crystal structure of Y2ZrRu.

Structure (POSCAR):
```
Y2ZrRu
1.0
-2.0602 2.0602 5.0900
2.0602 -2.0602 5.0900
2.0602 2.0602 -5.0900
Y Zr Ru
2 1 1
direct
0.0000 0.0000 0.0000
0.7500 0.2500 0.5000
0.5000 0.5000 0.0000
0.2500 0.7500 0.5000
```

## Properties
symmetry	No. 119
total magnetic moment	0.00	μB per formula unit
formation energy from the elements	0.18	eV/atom
E above lowest polymorph	392	meV per atom
calculated volume	21.6	Å³/atom


Density functional theory data (GGA-PBEsol) for an optimized crystal structure of CsGa3.

Structure (POSCAR):
```
CsGa3
1.0
-3.1585 3.1585 7.5528
3.1585 -3.1585 7.5528
3.1585 3.1585 -7.5528
Cs Ga
3 9
direct
0.0000 0.0000 0.0000
0.6274 0.1274 0.5000
0.8726 0.3726 0.5000
0.2237 0.0143 0.7907
0.2237 0.4330 0.2093
0.3043 0.6099 0.6945
0.3901 0.0846 0.6945
0.3901 0.6957 0.3055
0.5000 0.5000 0.0000
0.5670 0.7763 0.7907
0.9154 0.6099 0.3055
0.9857 0.7763 0.2093
```

## Properties
symmetry	No. 119
total magnetic moment	0.00	μB per formula unit
formation energy from the elements	-0.20	eV/atom
calculated volume	25.1	Å³/atom


Density functional theory data (GGA-PBEsol) for an optimized crystal structure of ReAgAs.

Structure (POSCAR):
```
ReAgAs
1.0
0.0000 2.3385 7.1450
1.5241 0.0000 7.1450
1.5241 2.3385 0.0000
Re Ag As
1 1 1
direct
0.0000 0.0000 0.0000
0.6672 0.6672 0.3328
0.3631 0.3631 0.6369
```

## Properties
symmetry	No. 42
total magnetic moment	0.00	μB per formula unit
formation energy from the elements	0.55	eV/atom
E above lowest polymorph	0	meV per atom
calculated volume	17.0	Å³/atom


Density functional theory data (GGA-PBEsol) for an optimized crystal structure of YPbBr2.

Structure (POSCAR):
```
YPbBr2
1.0
4.7188 0.0000 0.0000
0.0000 4.7188 0.0000
0.0000 0.0000 4.7090
Y Pb Br
1 1 2
direct
0.0000 0.0000 0.0000
0.5000 0.5000 0.0000
0.0000 0.5000 0.5000
0.5000 0.0000 0.5000
```

## Properties
symmetry	No. 123
total magnetic moment	0.00	μB per formula unit
formation energy without anion corrections	-679	meV/atom
E above lowest polymorph	367	meV per atom
calculated volume	26.2	Å³/atom


Density functional theory data (GGA-PBEsol) for an optimized crystal structure of RbInCl3.

Structure (POSCAR):
```
RbInCl3
1.0
0.0000 5.4028 5.4028
5.4028 0.0000 5.4028
5.4028 5.4028 0.0000
Rb In Cl
2 2 6
direct
0.2500 0.2500 0.2500
0.7500 0.7500 0.7500
0.0000 0.0000 0.0000
0.5000 0.5000 0.5000
0.2338 0.2338 0.7662
0.2338 0.7662 0.2338
0.2338 0.7662 0.7662
0.7662 0.2338 0.2338
0.7662 0.2338 0.7662
0.7662 0.7662 0.2338
```

## Properties
symmetry	No. 225
total magnetic moment	0.00	μB per formula unit
formation energy without anion corrections	-1386	meV/atom
calculated volume	31.5	Å³/atom


Density functional theory data (GGA-PBEsol) for an optimized crystal structure of In2Ag3SbSe6.

Structure (POSCAR):
```
In2Ag3SbSe6
1.0
3.9675 0.0000 0.0000
-1.9838 3.4360 0.0000
0.0000 0.0000 19.3039
In Ag Sb Se
2 3 1 6
direct
0.3333 0.6667 0.1651
0.6667 0.3333 0.8349
0.0000 0.0000 0.0000
0.3333 0.6667 0.6708
0.6667 0.3333 0.3292
0.0000 0.0000 0.5000
0.0000 0.0000 0.2504
0.0000 0.0000 0.7496
0.3333 0.6667 0.4114
0.3333 0.6667 0.9170
0.6667 0.3333 0.0830
0.6667 0.3333 0.5886
```

## Properties
symmetry	No. 164
total magnetic moment	0.00	μB per formula unit
formation energy without anion corrections	-290	meV/atom
calculated volume	21.9	Å³/atom


Density functional theory data (GGA-PBEsol) for an optimized crystal structure of KSc2Al.

Structure (POSCAR):
```
KSc2Al
1.0
5.1356 -1.5629 0.0000
5.1356 1.5629 0.0000
-0.7847 0.0000 7.2437
K Sc Al
1 2 1
direct
0.0000 0.0000 0.0000
0.2274 0.2274 0.6418
0.4861 0.4861 0.4765
0.7534 0.7534 0.3203
```

## Properties
symmetry	No. 8
total magnetic moment	0.01	μB per formula unit
formation energy from the elements	0.35	eV/atom
calculated volume	29.1	Å³/atom


Density functional theory data (GGA-PBEsol) for an optimized crystal structure of MgFePt.

Structure (POSCAR):
```
MgFePt
1.0
-1.3949 1.3949 5.5622
1.3949 -1.3949 5.5622
1.3949 1.3949 -5.5622
Mg Fe Pt
1 1 1
direct
0.0000 0.0000 0.0000
0.6752 0.6752 0.0000
0.3272 0.3272 0.0000
```

## Properties
symmetry	No. 107
total magnetic moment	2.61	μB per formula unit
formation energy from the elements	-0.19	eV/atom
calculated volume	14.4	Å³/atom


Density functional theory data (GGA-PBEsol) for an optimized crystal structure of CaTcB3.

Structure (POSCAR):
```
CaTcB3
1.0
4.1000 0.0000 0.0000
0.0000 4.1000 0.0000
0.0000 0.0000 4.1000
Ca Tc B
1 1 3
direct
0.0000 0.0000 0.0000
0.5000 0.5000 0.5000
0.0000 0.5000 0.5000
0.5000 0.0000 0.5000
0.5000 0.5000 0.0000
```

## Properties
symmetry	No. 221
total magnetic moment	0.00	μB per formula unit
formation energy from the elements	0.25	eV/atom
calculated volume	13.8	Å³/atom


Density functional theory data (GGA-PBEsol) for an optimized crystal structure of ZrRh2Se.

Structure (POSCAR):
```
ZrRh2Se
1.0
-1.6718 2.1916 4.3149
1.6718 -2.1916 4.3149
1.6718 2.1916 -4.3149
Zr Rh Se
1 2 1
direct
0.0000 0.0000 0.0000
0.4583 0.4583 0.0000
0.7279 0.2279 0.5000
0.2537 0.7537 0.5000
```

## Properties
symmetry	No. 44
total magnetic moment	0.00	μB per formula unit
formation energy without anion corrections	-565	meV/atom
calculated volume	15.8	Å³/atom


Density functional theory data (GGA-PBEsol) for an optimized crystal structure of Li2CuRh.

Structure (POSCAR):
```
Li2CuRh
1.0
4.4348 -1.2730 0.0000
4.4348 1.2730 0.0000
-0.7474 0.0000 4.5378
Li Cu Rh
2 1 1
direct
0.0000 0.0000 0.0000
0.2380 0.2380 0.7645
0.4948 0.4948 0.4753
0.7527 0.7527 0.2816
```

## Properties
symmetry	No. 8
total magnetic moment	0.23	μB per formula unit
formation energy from the elements	-0.02	eV/atom
E above lowest polymorph	59	meV per atom
calculated volume	12.8	Å³/atom


Density functional theory data (GGA-PBEsol) for an optimized crystal structure of Sc3AgO.

Structure (POSCAR):
```
Sc3AgO
1.0
4.3520 0.0000 0.0000
0.0000 4.3520 0.0000
0.0000 0.0000 4.3520
Sc Ag O
3 1 1
direct
0.0000 0.0000 0.5000
0.0000 0.5000 0.0000
0.5000 0.0000 0.0000
0.5000 0.5000 0.5000
0.0000 0.0000 0.0000
```

## Properties
symmetry	No. 221
total magnetic moment	0.00	μB per formula unit
formation energy without anion corrections	-1400	meV/atom
E above lowest polymorph	0	meV per atom
calculated volume	16.5	Å³/atom


Density functional theory data (GGA-PBEsol) for an optimized crystal structure of K6Se2O9.

Structure (POSCAR):
```
K6Se2O9
1.0
8.1185 0.0000 0.0000
0.0000 8.1185 0.0000
0.0000 0.0000 17.3860
K Se O
24 8 36
direct
0.0009 0.0421 0.3969
0.0035 0.4747 0.3725
0.0253 0.5035 0.6225
0.0421 0.0009 0.6031
0.2069 0.2246 0.7548
0.2246 0.2069 0.2452
0.2754 0.7069 0.0048
0.2931 0.7246 0.4952
0.4579 0.5009 0.6469
0.4747 0.0035 0.6275
0.4965 0.9747 0.8775
0.4991 0.5421 0.8531
0.5009 0.4579 0.3531
0.5035 0.0253 0.3775
0.5253 0.9965 0.1275
0.5421 0.4991 0.1469
0.7069 0.2754 0.9952
0.7246 0.2931 0.5048
0.7754 0.7931 0.7452
0.7931 0.7754 0.2548
0.9579 0.9991 0.1031
0.9747 0.4965 0.1225
0.9965 0.5253 0.8725
0.9991 0.9579 0.8969
0.2342 0.2342 0.0000
0.2453 0.7547 0.7500
0.2547 0.2547 0.5000
0.2658 0.7342 0.2500
0.7342 0.2658 0.7500
0.7453 0.7453 0.0000
0.7547 0.2453 0.2500
0.7658 0.7658 0.5000
0.0342 0.2644 0.9828
0.0446 0.2995 0.5020
0.0930 0.9070 0.7500
0.1560 0.7871 0.3271
0.2005 0.5446 0.7520
0.2129 0.8440 0.1729
0.2356 0.5342 0.2328
0.2402 0.7535 0.6455
0.2465 0.7598 0.8545
0.2535 0.2598 0.3955
0.2598 0.2535 0.6045
0.2644 0.0342 0.0172
0.2871 0.3440 0.0771
0.2995 0.0446 0.4980
0.3440 0.2871 0.9229
0.4070 0.4070 0.5000
0.4554 0.7995 0.7480
0.4658 0.7644 0.2672
0.5342 0.2356 0.7672
0.5446 0.2005 0.2480
0.5930 0.5930 0.0000
0.6560 0.7129 0.4229
0.7005 0.9554 0.9980
0.7129 0.6560 0.5771
0.7356 0.9658 0.5172
0.7402 0.7465 0.1045
0.7465 0.7402 0.8955
0.7535 0.2402 0.3545
0.7598 0.2465 0.1455
0.7644 0.4658 0.7328
0.7871 0.1560 0.6729
0.7995 0.4554 0.2520
0.8440 0.2129 0.8271
0.9070 0.0930 0.2500
0.9554 0.7005 0.0020
0.9658 0.7356 0.4828
```

## Properties
symmetry	No. 92
total magnetic moment	0.01	μB per formula unit
formation energy without anion corrections	-1386	meV/atom
calculated volume	16.9	Å³/atom


Density functional theory data (GGA-PBEsol) for an optimized crystal structure of AlRh.

Structure (POSCAR):
```
AlRh
1.0
3.8202 -5.3046 0.0000
3.8202 5.3046 0.0000
0.0000 0.0000 2.8040
Al Rh
4 4
direct
0.1387 0.8613 0.0000
0.2794 0.2794 0.5000
0.7206 0.7206 0.5000
0.8613 0.1387 0.0000
0.0000 0.5000 0.5000
0.3730 0.6270 0.0000
0.5000 0.0000 0.5000
0.6270 0.3730 0.0000
```

## Properties
symmetry	No. 65
total magnetic moment	0.00	μB per formula unit
formation energy from the elements	-0.51	eV/atom
calculated volume	14.2	Å³/atom


Density functional theory data (GGA-PBEsol) for an optimized crystal structure of TaReNi.

Structure (POSCAR):
```
TaReNi
1.0
4.3775 0.0000 0.0000
-2.1887 3.7910 0.0000
0.0000 0.0000 2.5967
Ta Re Ni
1 1 1
direct
0.0000 0.0000 0.0000
0.6667 0.3333 0.6335
0.3333 0.6667 0.2008
```

## Properties
symmetry	No. 156
total magnetic moment	0.00	μB per formula unit
formation energy from the elements	0.02	eV/atom
E above lowest polymorph	0	meV per atom
calculated volume	14.4	Å³/atom


Density functional theory data (GGA-PBEsol) for an optimized crystal structure of Hf2BPdPt.

Structure (POSCAR):
```
Hf2BPdPt
1.0
5.0418 0.0000 0.0000
0.0000 5.0418 0.0000
0.0000 0.0000 3.8768
Hf B Pd Pt
2 1 1 1
direct
0.0000 0.5000 0.0000
0.5000 0.0000 0.0000
0.0000 0.0000 0.5000
0.5000 0.5000 0.5000
0.0000 0.0000 0.0000
```

## Properties
symmetry	No. 123
total magnetic moment	0.00	μB per formula unit
formation energy from the elements	0.32	eV/atom
calculated volume	19.7	Å³/atom


Density functional theory data (GGA-PBEsol) for an optimized crystal structure of TlIn5.

Structure (POSCAR):
```
TlIn5
1.0
5.8041 0.0000 0.0000
-2.9021 5.0265 0.0000
0.0000 0.0000 5.3348
Tl In
1 5
direct
0.0000 0.0000 0.0000
0.0000 0.6614 0.5000
0.3333 0.6667 0.0000
0.3386 0.3386 0.5000
0.6614 0.0000 0.5000
0.6667 0.3333 0.0000
```

## Properties
symmetry	No. 189
total magnetic moment	0.00	μB per formula unit
formation energy from the elements	0.01	eV/atom
E above lowest polymorph	11	meV per atom
calculated volume	25.9	Å³/atom


Density functional theory data (GGA-PBEsol) for an optimized crystal structure of Mn2TlAs.

Structure (POSCAR):
```
Mn2TlAs
1.0
3.0106 0.0000 0.0000
0.0000 3.0106 0.0000
0.0000 0.0000 6.8476
Mn Tl As
2 1 1
direct
0.0000 0.0000 0.1944
0.0000 0.0000 0.8056
0.5000 0.5000 0.5000
0.5000 0.5000 0.0000
```

## Properties
symmetry	No. 123
total magnetic moment	4.95	μB per formula unit
formation energy from the elements	0.30	eV/atom
E above lowest polymorph	19	meV per atom
calculated volume	15.5	Å³/atom


Density functional theory data (GGA-PBEsol) for an optimized crystal structure of BaMn2CuPd.

Structure (POSCAR):
```
BaMn2CuPd
1.0
5.0997 0.0000 0.0000
0.0000 5.0997 0.0000
0.0000 0.0000 5.0901
Ba Mn Cu Pd
1 2 1 1
direct
0.0000 0.0000 0.0000
0.0000 0.5000 0.0000
0.5000 0.0000 0.0000
0.5000 0.5000 0.5000
0.0000 0.0000 0.5000
```

## Properties
symmetry	No. 123
total magnetic moment	7.55	μB per formula unit
formation energy from the elements	2.23	eV/atom
calculated volume	26.5	Å³/atom